First-principles (PBE) data for crystalline HfMnW3 at its relaxed geometry, as listed in Alexandria.

Summary:
The energy relative to the lowest polymorph listed for this composition is 9.680 eV/f.u. The calculation puts the formation energy at 2944 meV per atom. Its density of states at the Fermi level is 7.8 states/eV per cell. The crystal system is cubic.

Unit cell a=4.7428 b=4.7428 c=4.7428 alpha=90.00 beta=90.00 gamma=90.00
Element x y z (fractional)
Hf: 0.0000 0.0000 0.0000
Mn: 0.5000 0.5000 0.5000
W: 0.0000 0.0000 0.5000
W: 0.0000 0.5000 0.0000
W: 0.5000 0.0000 0.0000